{
  "formula": "K2VF6",
  "functional": "GGA+U",
  "state": "optimized geometry",
  "lattice": [[6.0243, 0.0000, 0.0000], [0.0000, 7.6827, 0.0000], [-3.6496, 0.0000, 6.6374]],
  "species": ["K", "K", "K", "K", "V", "V", "F", "F", "F", "F", "F", "F", "F", "F", "F", "F", "F", "F"],
  "frac_coords": [[0.1832, 0.0636, 0.3157], [0.1832, 0.4364, 0.8157], [0.8168, 0.5636, 0.1843], [0.8168, 0.9364, 0.6843], [0.5000, 0.0000, 0.0000], [0.5000, 0.5000, 0.5000], [0.2041, 0.1184, 0.9690], [0.2041, 0.3816, 0.4690], [0.3233, 0.7090, 0.4411], [0.3233, 0.7910, 0.9411], [0.3834, 0.0281, 0.7211], [0.3834, 0.4719, 0.2211], [0.6166, 0.5281, 0.7789], [0.6166, 0.9719, 0.2789], [0.6767, 0.2090, 0.0589], [0.6767, 0.2910, 0.5589], [0.7959, 0.6184, 0.5310], [0.7959, 0.8816, 0.0310]],
  "sg": "P2_1/c, No. 14",
  "density_g_cm3": 2.63,
  "vol_a3_per_atom": 17.1,
  "dos_at_fermi_per_ev_atom": 0.00,
  "magnetic_moment_mub_per_fu": 1.00,
  "e_tot_ev_per_atom": -5.20
}